[1]
# Pm2H4S | the Alexandria database | PBE | relaxed
data_Pm2H4S
_cell_length_a 3.7940
_cell_length_b 7.0223
_cell_length_c 7.0223
_cell_angle_alpha 90.00
_cell_angle_beta 90.00
_cell_angle_gamma 90.00
_space_group_name_H-M_alt 'P 1'
_space_group_IT_number 1
loop_
_space_group_symop_operation_xyz
'x,y,z'
loop_
_atom_site_label
_atom_site_type_symbol
_atom_site_fract_x
_atom_site_fract_y
_atom_site_fract_z
H1 H 0.5000 0.4068 0.8311
H2 H 0.5000 0.1689 0.5932
H3 H 0.5000 0.5932 0.1689
H4 H 0.0000 0.3311 0.0932
H5 H 0.0000 0.0932 0.3311
H6 H 0.0000 0.6689 0.9068
H7 H 0.5000 0.8311 0.4068
H8 H 0.0000 0.9068 0.6689
S1 S 0.5000 0.0000 0.0000
S2 S 0.0000 0.5000 0.5000
Pm1 Pm 0.0000 0.7826 0.2174
Pm2 Pm 0.5000 0.2826 0.2826
Pm3 Pm 0.5000 0.7174 0.7174
Pm4 Pm 0.0000 0.2174 0.7826
# Magnetic moment   0.00 μB/cell
# Calculated total energy   -4.85 eV per atom
# Theoretical density   5.79 g/cm3

[2]
# Pm4SiHS2 | the Alexandria database | PBE | relaxed
data_Pm4SiHS2
_cell_length_a 5.7094
_cell_length_b 5.7094
_cell_length_c 7.0246
_cell_angle_alpha 114.09
_cell_angle_beta 114.09
_cell_angle_gamma 89.75
_space_group_name_H-M_alt 'P 1'
_space_group_IT_number 1
loop_
_space_group_symop_operation_xyz
'x,y,z'
loop_
_atom_site_label
_atom_site_type_symbol
_atom_site_fract_x
_atom_site_fract_y
_atom_site_fract_z
Pm1 Pm 0.9580 0.4363 0.0000
Pm2 Pm 0.6928 0.6928 0.5062
Pm3 Pm 0.4363 0.9580 0.0000
Pm4 Pm 0.1866 0.1866 0.4938
S1 S 0.1903 0.6903 0.5000
S2 S 0.6903 0.1903 0.5000
Si1 Si 0.9359 0.9359 0.0000
H1 H 0.4070 0.4070 0.0000
# Magnetic moment   0.00 μB/cell
# Calculated total energy   -5.77 eV per atom
# Theoretical density   5.97 g/cm3

[3]
# PmSbH | the Alexandria database | PBE | relaxed
data_PmSbH
_cell_length_a 4.7773
_cell_length_b 3.8821
_cell_length_c 3.8821
_cell_angle_alpha 120.00
_cell_angle_beta 90.00
_cell_angle_gamma 90.00
_space_group_name_H-M_alt 'P 1'
_space_group_IT_number 1
loop_
_space_group_symop_operation_xyz
'x,y,z'
loop_
_atom_site_label
_atom_site_type_symbol
_atom_site_fract_x
_atom_site_fract_y
_atom_site_fract_z
H1 H 0.1673 0.0000 0.0000
Pm1 Pm 0.1663 0.6667 0.3333
Sb1 Sb 0.6664 0.3333 0.6667
# Offset from the most stable computed form   0.0 kJ/mol of atoms
# Magnetic moment   0.00 μB/cell
# Calculated total energy   -4.80 eV per atom
# Theoretical density   7.13 g/cm3

[4]
# Pm3Sb3H | the Alexandria database | PBE | relaxed
data_Pm3Sb3H
_cell_length_a 8.1338
_cell_length_b 8.1338
_cell_length_c 6.3310
_cell_angle_alpha 91.28
_cell_angle_beta 91.28
_cell_angle_gamma 112.45
_space_group_name_H-M_alt 'P 1'
_space_group_IT_number 1
loop_
_space_group_symop_operation_xyz
'x,y,z'
loop_
_atom_site_label
_atom_site_type_symbol
_atom_site_fract_x
_atom_site_fract_y
_atom_site_fract_z
Pm1 Pm 0.0914 0.0914 0.7727
Pm2 Pm 0.5528 0.8336 0.7431
Pm3 Pm 0.1664 0.4472 0.2569
Pm4 Pm 0.9086 0.9086 0.2273
Pm5 Pm 0.4472 0.1664 0.2569
Pm6 Pm 0.8336 0.5528 0.7431
Sb1 Sb 0.4153 0.4153 0.7312
Sb2 Sb 0.5847 0.5847 0.2688
Sb3 Sb 0.1899 0.8101 0.5000
Sb4 Sb 0.7976 0.2024 0.0000
Sb5 Sb 0.8101 0.1899 0.5000
Sb6 Sb 0.2024 0.7976 0.0000
H1 H 0.8302 0.8302 0.8427
H2 H 0.1698 0.1698 0.1573
# Magnetic moment   0.00 μB/cell
# Calculated total energy   -5.15 eV per atom
# Theoretical density   6.88 g/cm3

[5]
# Pm4Sb3H2 | the Alexandria database | PBE | relaxed
data_Pm4Sb3H2
_cell_length_a 7.4273
_cell_length_b 8.0556
_cell_length_c 8.0556
_cell_angle_alpha 77.66
_cell_angle_beta 81.68
_cell_angle_gamma 81.68
_space_group_name_H-M_alt 'P 1'
_space_group_IT_number 1
loop_
_space_group_symop_operation_xyz
'x,y,z'
loop_
_atom_site_label
_atom_site_type_symbol
_atom_site_fract_x
_atom_site_fract_y
_atom_site_fract_z
H1 H 0.0668 0.5680 0.8309
H2 H 0.5668 0.8309 0.5680
H3 H 0.4332 0.1691 0.4320
H4 H 0.9332 0.4320 0.1691
Pm1 Pm 0.0185 0.7148 0.0756
Pm2 Pm 0.1113 0.2642 0.3977
Pm3 Pm 0.3887 0.6023 0.7358
Pm4 Pm 0.9815 0.2852 0.9244
Pm5 Pm 0.6113 0.3977 0.2642
Pm6 Pm 0.5185 0.0756 0.7148
Pm7 Pm 0.4815 0.9244 0.2852
Pm8 Pm 0.8887 0.7358 0.6023
Sb1 Sb 0.3740 0.2675 0.0285
Sb2 Sb 0.7500 0.3876 0.6124
Sb3 Sb 0.1260 0.9715 0.7325
Sb4 Sb 0.6260 0.7325 0.9715
Sb5 Sb 0.2500 0.6124 0.3876
Sb6 Sb 0.8740 0.0285 0.2675
# Magnetic moment   0.00 μB/cell
# Calculated total energy   -5.12 eV per atom
# Theoretical density   6.80 g/cm3

[6]
# PmSbH | the Alexandria database | PBE | relaxed
data_PmSbH
_cell_length_a 3.3299
_cell_length_b 3.3299
_cell_length_c 6.1596
_cell_angle_alpha 105.68
_cell_angle_beta 105.68
_cell_angle_gamma 90.00
_space_group_name_H-M_alt 'P 1'
_space_group_IT_number 1
loop_
_space_group_symop_operation_xyz
'x,y,z'
loop_
_atom_site_label
_atom_site_type_symbol
_atom_site_fract_x
_atom_site_fract_y
_atom_site_fract_z
Sb1 Sb 0.0056 0.0056 0.0111
H1 H 0.2748 0.2748 0.5495
Pm1 Pm 0.7197 0.7197 0.4394
# Offset from the most stable computed form   27.2 kJ/mol of atoms
# Magnetic moment   0.00 μB/cell
# Calculated total energy   -4.52 eV per atom
# Theoretical density   7.05 g/cm3

[7]
# Pm8Sb5H | the Alexandria database | PBE | relaxed
data_Pm8Sb5H
_cell_length_a 8.0787
_cell_length_b 8.0787
_cell_length_c 8.0787
_cell_angle_alpha 111.45
_cell_angle_beta 105.58
_cell_angle_gamma 111.45
_space_group_name_H-M_alt 'P 1'
_space_group_IT_number 1
loop_
_space_group_symop_operation_xyz
'x,y,z'
loop_
_atom_site_label
_atom_site_type_symbol
_atom_site_fract_x
_atom_site_fract_y
_atom_site_fract_z
Sb1 Sb 0.8716 0.8728 0.2323
Sb2 Sb 0.7677 0.6392 0.6404
Sb3 Sb 0.0012 0.3608 0.1284
Sb4 Sb 0.5000 0.0000 0.5000
Sb5 Sb 0.3596 0.1272 0.9988
Pm1 Pm 0.5725 0.8506 0.8557
Pm2 Pm 0.1443 0.7167 0.9949
Pm3 Pm 0.0051 0.1494 0.7219
Pm4 Pm 0.4917 0.6053 0.2593
Pm5 Pm 0.7407 0.2324 0.3460
Pm6 Pm 0.6540 0.3947 0.8863
Pm7 Pm 0.1137 0.7676 0.5083
Pm8 Pm 0.2781 0.2833 0.4275
H1 H 0.2500 0.5000 0.7500
# Magnetic moment   0.00 μB/cell
# Calculated total energy   -5.27 eV per atom
# Theoretical density   7.27 g/cm3

[8]
# Pm2SbH2 | the Alexandria database | PBE | relaxed
data_Pm2SbH2
_cell_length_a 6.0812
_cell_length_b 6.0812
_cell_length_c 6.5544
_cell_angle_alpha 105.80
_cell_angle_beta 105.80
_cell_angle_gamma 114.44
_space_group_name_H-M_alt 'P 1'
_space_group_IT_number 1
loop_
_space_group_symop_operation_xyz
'x,y,z'
loop_
_atom_site_label
_atom_site_type_symbol
_atom_site_fract_x
_atom_site_fract_y
_atom_site_fract_z
H1 H 0.5062 0.7563 0.0128
H2 H 0.2563 0.0062 0.5128
H3 H 0.7437 0.9938 0.4872
H4 H 0.4938 0.2437 0.9872
Pm1 Pm 0.4372 0.0628 0.2500
Pm2 Pm 0.5628 0.9372 0.7500
Pm3 Pm 0.8127 0.6873 0.2500
Pm4 Pm 0.1873 0.3127 0.7500
Sb1 Sb 0.8749 0.6251 0.7500
Sb2 Sb 0.1251 0.3749 0.2500
# Offset from the most stable computed form   4.5 kJ/mol of atoms
# Magnetic moment   0.00 μB/cell
# Calculated total energy   -4.83 eV per atom
# Theoretical density   7.20 g/cm3

[9]
# Pm3SbH | the Alexandria database | PBE | relaxed
data_Pm3SbH
_cell_length_a 4.4417
_cell_length_b 7.8811
_cell_length_c 7.8187
_cell_angle_alpha 89.99
_cell_angle_beta 73.46
_cell_angle_gamma 90.00
_space_group_name_H-M_alt 'P 1'
_space_group_IT_number 1
loop_
_space_group_symop_operation_xyz
'x,y,z'
loop_
_atom_site_label
_atom_site_type_symbol
_atom_site_fract_x
_atom_site_fract_y
_atom_site_fract_z
H1 H 0.0799 0.6864 0.5593
H2 H 0.9459 0.1861 0.8259
Pm1 Pm 0.0628 0.3822 0.5929
Pm2 Pm 0.7735 0.4060 0.1704
Pm3 Pm 0.2521 0.9060 0.2151
Pm4 Pm 0.4178 0.2043 0.8820
Pm5 Pm 0.9629 0.8822 0.7925
Pm6 Pm 0.6078 0.7043 0.5035
Sb1 Sb 0.4016 0.5992 0.9148
Sb2 Sb 0.6240 0.0992 0.4707
# Offset from the most stable computed form   8.5 kJ/mol of atoms
# Magnetic moment   0.00 μB/cell
# Calculated total energy   -4.85 eV per atom
# Theoretical density   7.06 g/cm3

[10]
# Pm6Sb2H | the Alexandria database | PBE | relaxed
data_Pm6Sb2H
_cell_length_a 6.5416
_cell_length_b 7.7911
_cell_length_c 10.0548
_cell_angle_alpha 90.00
_cell_angle_beta 90.27
_cell_angle_gamma 90.00
_space_group_name_H-M_alt 'P 1'
_space_group_IT_number 1
loop_
_space_group_symop_operation_xyz
'x,y,z'
loop_
_atom_site_label
_atom_site_type_symbol
_atom_site_fract_x
_atom_site_fract_y
_atom_site_fract_z
Pm1 Pm 0.8818 0.6959 0.9604
Pm2 Pm 0.8640 0.9750 0.2498
Pm3 Pm 0.3818 0.8041 0.4604
Pm4 Pm 0.1360 0.0250 0.7502
Pm5 Pm 0.3838 0.7962 0.0420
Pm6 Pm 0.1162 0.2962 0.4580
Pm7 Pm 0.6182 0.1959 0.5396
Pm8 Pm 0.6360 0.4750 0.2502
Pm9 Pm 0.6162 0.2038 0.9580
Pm10 Pm 0.1182 0.3041 0.0396
Pm11 Pm 0.8838 0.7038 0.5420
Pm12 Pm 0.3640 0.5250 0.7498
Sb1 Sb 0.9018 0.3906 0.7480
Sb2 Sb 0.4018 0.1094 0.2480
Sb3 Sb 0.5982 0.8906 0.7520
Sb4 Sb 0.0982 0.6094 0.2520
H1 H 0.0000 0.0000 0.5000
H2 H 0.5000 0.5000 0.0000
# Magnetic moment   0.00 μB/cell
# Calculated total energy   -5.06 eV per atom
# Theoretical density   7.22 g/cm3

[11]
# PmSbH | the Alexandria database | PBE | relaxed
data_PmSbH
_cell_length_a 4.3050
_cell_length_b 4.3053
_cell_length_c 7.8716
_cell_angle_alpha 74.13
_cell_angle_beta 74.13
_cell_angle_gamma 89.99
_space_group_name_H-M_alt 'P 1'
_space_group_IT_number 1
loop_
_space_group_symop_operation_xyz
'x,y,z'
loop_
_atom_site_label
_atom_site_type_symbol
_atom_site_fract_x
_atom_site_fract_y
_atom_site_fract_z
Pm1 Pm 0.2383 0.1785 0.4406
Pm2 Pm 0.5702 0.5104 0.7764
Sb1 Sb 0.4042 0.8444 0.1085
Sb2 Sb 0.9042 0.3444 0.1085
H1 H 0.6542 0.0944 0.6085
H2 H 0.1542 0.5945 0.6085
# Offset from the most stable computed form   18.1 kJ/mol of atoms
# Magnetic moment   0.00 μB/cell
# Calculated total energy   -4.62 eV per atom
# Theoretical density   6.61 g/cm3

[12]
# Pm6Sb3H | the Alexandria database | PBE | relaxed
data_Pm6Sb3H
_cell_length_a 6.4587
_cell_length_b 9.6834
_cell_length_c 9.6834
_cell_angle_alpha 105.23
_cell_angle_beta 90.00
_cell_angle_gamma 90.00
_space_group_name_H-M_alt 'P 1'
_space_group_IT_number 1
loop_
_space_group_symop_operation_xyz
'x,y,z'
loop_
_atom_site_label
_atom_site_type_symbol
_atom_site_fract_x
_atom_site_fract_y
_atom_site_fract_z
Pm1 Pm 0.2245 0.4558 0.9041
Pm2 Pm 0.7245 0.5442 0.0959
Pm3 Pm 0.7371 0.2750 0.7250
Pm4 Pm 0.9990 0.0806 0.9194
Pm5 Pm 0.6726 0.6499 0.7349
Pm6 Pm 0.4990 0.9194 0.0806
Pm7 Pm 0.1726 0.3501 0.2651
Pm8 Pm 0.1726 0.7349 0.6499
Pm9 Pm 0.6726 0.2651 0.3501
Pm10 Pm 0.2245 0.0959 0.5442
Pm11 Pm 0.7245 0.9041 0.4558
Pm12 Pm 0.2371 0.7250 0.2750
Sb1 Sb 0.3530 0.4125 0.5875
Sb2 Sb 0.5118 0.2419 0.0306
Sb3 Sb 0.0118 0.0306 0.2419
Sb4 Sb 0.0118 0.7581 0.9694
Sb5 Sb 0.8530 0.5875 0.4125
Sb6 Sb 0.5118 0.9694 0.7581
H1 H 0.0786 0.2265 0.7735
H2 H 0.5786 0.7735 0.2265
# Magnetic moment   0.00 μB/cell
# Calculated total energy   -5.09 eV per atom
# Theoretical density   7.03 g/cm3

Question: Which value of magnetic moment does entry 9 give?
Answer: 0.00 μB/cell

Question: Among the records above, which one has the lowest theoretical density?
Answer: Pm2H4S

Question: Among the records above, which one has the lowest theoretical density?
Answer: Pm2H4S

What did the twelfth record say?
# Pm6Sb3H | the Alexandria database | PBE | relaxed
data_Pm6Sb3H
_cell_length_a 6.4587
_cell_length_b 9.6834
_cell_length_c 9.6834
_cell_angle_alpha 105.23
_cell_angle_beta 90.00
_cell_angle_gamma 90.00
_space_group_name_H-M_alt 'P 1'
_space_group_IT_number 1
loop_
_space_group_symop_operation_xyz
'x,y,z'
loop_
_atom_site_label
_atom_site_type_symbol
_atom_site_fract_x
_atom_site_fract_y
_atom_site_fract_z
Pm1 Pm 0.2245 0.4558 0.9041
Pm2 Pm 0.7245 0.5442 0.0959
Pm3 Pm 0.7371 0.2750 0.7250
Pm4 Pm 0.9990 0.0806 0.9194
Pm5 Pm 0.6726 0.6499 0.7349
Pm6 Pm 0.4990 0.9194 0.0806
Pm7 Pm 0.1726 0.3501 0.2651
Pm8 Pm 0.1726 0.7349 0.6499
Pm9 Pm 0.6726 0.2651 0.3501
Pm10 Pm 0.2245 0.0959 0.5442
Pm11 Pm 0.7245 0.9041 0.4558
Pm12 Pm 0.2371 0.7250 0.2750
Sb1 Sb 0.3530 0.4125 0.5875
Sb2 Sb 0.5118 0.2419 0.0306
Sb3 Sb 0.0118 0.0306 0.2419
Sb4 Sb 0.0118 0.7581 0.9694
Sb5 Sb 0.8530 0.5875 0.4125
Sb6 Sb 0.5118 0.9694 0.7581
H1 H 0.0786 0.2265 0.7735
H2 H 0.5786 0.7735 0.2265
# Magnetic moment   0.00 μB/cell
# Calculated total energy   -5.09 eV per atom
# Theoretical density   7.03 g/cm3